*i*
Below is a relaxed MgPd2O crystal, with properties calculated at the PBE level.

Geometry as POSCAR:
```
MgPd2O
1.0
0.000 3.039 3.039
3.039 0.000 3.039
3.039 3.039 0.000
Pd O Mg
2 1 1
Direct
0.250 0.250 0.250 Pd
0.750 0.750 0.750 Pd
0.000 0.000 0.000 O
0.500 0.500 0.500 Mg
```

Results
- Spin magnetization: 0.80 μB per formula unit



*ii*
Below is a relaxed MgPd2O crystal, with properties calculated at the PBE level.

Geometry as POSCAR:
```
MgPd2O
1.0
4.889 0.000 0.000
0.000 4.889 0.000
2.444 2.444 6.253
Pd O Mg
4 2 2
Direct
0.270 0.625 0.250 Pd
0.375 0.520 0.750 Pd
0.875 0.730 0.750 Pd
0.480 0.125 0.250 Pd
0.250 0.750 0.500 O
0.500 0.500 0.000 O
0.750 0.250 0.500 Mg
0.000 0.000 0.000 Mg
```

Results
- Spin magnetization: 0.00 μB per formula unit



Most stable to least stable: *ii*, *i*